#a
VASP calculation (PBE with a Hubbard U) on CrGa3O after structural relaxation.

Cell lengths 4.383, 4.383, 4.383 Å; angles 90.00, 90.00, 90.00 degrees
Last column: magnetic moment on the atom in μB.
Element x y z (fractional)
1 Ga 0.500 0.000 0.000  0.02
2 Ga 0.000 0.000 0.500  0.02
3 Ga 0.000 0.500 0.000  0.02
4 O 0.000 0.000 0.000  0.09
5 Cr 0.500 0.500 0.500  -0.55

#b
VASP calculation (PBE with a Hubbard U) on CrGa3O after structural relaxation.

Cell lengths 4.891, 4.891, 4.891 Å; angles 90.00, 90.00, 90.00 degrees
Last column: magnetic moment on the atom in μB.
Element x y z (fractional)
1 Ga 0.000 0.000 0.500  0.06
2 Ga 0.500 0.000 0.000  -0.03
3 Ga 0.000 0.500 0.000  0.01
4 Cr 0.000 0.000 0.000  3.82
5 O 0.500 0.500 0.500  0.80

The energy of each structure relative to the most stable one, in meV per atom, is as follows: #a 0; #b 290.